A plane-wave DFT calculation with PBE-GGA was carried out for a geometry-optimized YTmTeC structure.

The structure belongs to space group P-6m2 (No. 187); the cell edges are 3.8071, 3.8071 and 13.9251 Å and the angles 90.00°, 90.00° and 120.00°. The distinct sites, in fractional coordinates, are Y at (0.0000, 0.0000, 0.1590), Tm at (0.3333, 0.6667, 0.3447), Te at (0.0000, 0.0000, 0.5000), Te at (0.3333, 0.6667, 0.0000) and C at (0.6667, 0.3333, 0.2540).

For the electronic total energy, the calculation gives -6.712 eV per atom. The total moment comes out at 0.01 μB per formula unit.